(1)
TiIr3Pb, relaxed, DFT PBEsol; ΔH_f (0 K) = 5.2 eV per formula unit
1.0
4.612 0.000 0.000
0.000 4.612 0.000
0.000 0.000 4.612
Ti Ir Pb
1 3 1
Cartesian
0.000 0.000 0.000
0.000 0.000 2.306
0.000 2.306 0.000
2.306 0.000 0.000
2.306 2.306 2.306

***

(2)
TlIr2Pb, relaxed, DFT PBEsol; ΔH_f (0 K) = 2.1 eV per formula unit
1.0
2.982 0.000 0.000
0.000 4.485 0.000
0.000 0.000 11.914
Tl Ir Pb
2 4 2
Cartesian
0.000 0.000 0.000
1.491 2.243 5.957
0.000 0.000 6.143
0.000 2.243 9.874
1.491 0.000 3.917
1.491 2.243 0.186
0.000 2.243 2.725
1.491 0.000 8.682

***

(3)
Tl2IrPb, relaxed, DFT PBEsol; ΔH_f (0 K) = 1.0 eV per formula unit; E above lowest polymorph = 0.0 meV per atom
1.0
3.247 0.000 0.000
0.000 3.247 0.000
0.000 0.000 8.909
Tl Ir Pb
2 1 1
Cartesian
0.000 0.000 0.000
1.624 1.624 2.553
1.624 1.624 7.126
0.000 0.000 5.397

***

(4)
Tl2IrPb, relaxed, DFT PBEsol; ΔH_f (0 K) = 1.2 eV per formula unit; E above lowest polymorph = 71.4 meV per atom
1.0
7.239 0.000 0.000
0.000 3.181 0.000
-1.156 0.000 8.605
Tl Ir Pb
4 2 2
Cartesian
0.000 0.000 0.000
0.884 0.000 6.113
3.619 1.591 0.000
4.504 1.591 6.113
6.651 1.591 4.370
3.032 0.000 4.370
1.547 1.591 2.691
5.166 0.000 2.691

***

(5)
Tl2IrPb, relaxed, DFT PBEsol; ΔH_f (0 K) = 2.0 eV per formula unit; E above lowest polymorph = 270.9 meV per atom
1.0
7.119 0.000 0.000
0.000 7.119 0.000
0.000 0.000 7.119
Tl Ir Pb
8 4 4
Cartesian
0.000 0.000 0.000
0.000 3.560 3.560
1.780 1.780 1.780
1.780 5.339 5.339
3.560 0.000 3.560
3.560 3.560 0.000
5.339 1.780 5.339
5.339 5.339 1.780
0.000 0.000 3.560
0.000 3.560 0.000
3.560 0.000 0.000
3.560 3.560 3.560
1.780 1.780 5.339
1.780 5.339 1.780
5.339 1.780 1.780
5.339 5.339 5.339

***

(6)
IrPbW3, relaxed, DFT PBEsol; ΔH_f (0 K) = 9.7 eV per formula unit; E above lowest polymorph = 0.0 meV per atom
1.0
4.771 0.000 0.000
0.000 4.771 0.000
0.000 0.000 4.771
Ir Pb W
1 1 3
Cartesian
0.000 0.000 0.000
2.385 2.385 2.385
0.000 0.000 2.385
0.000 2.385 0.000
2.385 0.000 0.000

***

(7)
IrPbW, relaxed, DFT PBEsol; ΔH_f (0 K) = 1.8 eV per formula unit
1.0
6.190 0.000 0.000
0.000 6.190 0.000
0.000 0.000 6.190
Ir Pb W
4 4 4
Cartesian
0.000 0.000 0.000
0.000 3.095 3.095
3.095 0.000 3.095
3.095 3.095 0.000
1.548 1.548 4.643
1.548 4.643 1.548
4.643 1.548 1.548
4.643 4.643 4.643
1.548 1.548 1.548
1.548 4.643 4.643
4.643 1.548 4.643
4.643 4.643 1.548

***

(8)
ZrIrPbW2, relaxed, DFT PBEsol; ΔH_f (0 K) = 11.1 eV per formula unit
1.0
4.838 0.000 0.000
0.000 4.838 0.000
0.000 0.000 4.821
Zr Ir Pb W
1 1 1 2
Cartesian
0.000 0.000 0.000
0.000 0.000 2.411
2.419 2.419 2.411
0.000 2.419 0.000
2.419 0.000 0.000

***

(9)
YIr2Pb, relaxed, DFT PBEsol; ΔH_f (0 K) = -1.1 eV per formula unit
1.0
4.416 0.000 0.000
0.000 4.416 0.000
0.000 0.000 7.551
Y Ir Pb
2 4 2
Cartesian
0.000 0.000 0.000
2.208 2.208 3.775
0.000 2.208 1.888
0.000 2.208 5.663
2.208 0.000 1.888
2.208 0.000 5.663
0.000 0.000 3.775
2.208 2.208 0.000

***

(10)
YIrPb2, relaxed, DFT PBEsol; ΔH_f (0 K) = -0.7 eV per formula unit; E above lowest polymorph = 0.0 meV per atom
1.0
4.574 0.000 0.000
-2.287 3.961 0.000
0.000 0.000 15.022
Y Ir Pb
3 3 6
Cartesian
0.000 0.000 0.000
0.000 2.641 10.014
2.287 1.320 5.007
0.000 0.000 7.511
0.000 2.641 2.504
2.287 1.320 12.518
0.000 0.000 3.482
0.000 0.000 11.539
0.000 2.641 6.532
0.000 2.641 13.497
2.287 1.320 1.525
2.287 1.320 8.489

***

(11)
YIrPb2, relaxed, DFT PBEsol; ΔH_f (0 K) = -0.5 eV per formula unit; E above lowest polymorph = 45.1 meV per atom
1.0
3.822 0.000 0.000
0.000 4.880 0.000
0.000 0.000 9.847
Y Ir Pb
2 2 4
Cartesian
0.000 0.000 0.000
1.911 2.440 4.923
0.000 2.440 7.015
1.911 0.000 2.092
0.000 0.000 4.273
0.000 2.440 2.126
1.911 0.000 7.050
1.911 2.440 9.197

***

(12)
YIrPb2, relaxed, DFT PBEsol; ΔH_f (0 K) = -0.1 eV per formula unit; E above lowest polymorph = 152.1 meV per atom
1.0
3.450 0.000 0.000
0.000 3.450 0.000
0.000 0.000 7.382
Y Ir Pb
1 1 2
Cartesian
0.000 0.000 0.000
0.000 0.000 3.691
1.725 1.725 2.109
1.725 1.725 5.273

***

(13)
YIr2Pb, relaxed, DFT PBEsol; ΔH_f (0 K) = -0.6 eV per formula unit
1.0
3.489 0.000 0.000
0.000 3.489 0.000
0.000 0.000 6.188
Y Ir Pb
1 2 1
Cartesian
0.000 0.000 0.000
1.744 1.744 1.598
1.744 1.744 4.590
0.000 0.000 3.094

***

(14)
Y3IrPb, relaxed, DFT PBEsol; ΔH_f (0 K) = -2.1 eV per formula unit
1.0
5.289 0.000 0.000
0.000 5.289 0.000
0.000 0.000 5.289
Y Ir Pb
3 1 1
Cartesian
0.000 0.000 2.644
0.000 2.644 0.000
2.644 0.000 0.000
0.000 0.000 0.000
2.644 2.644 2.644

***

(15)
YIrPb2, relaxed, DFT PBEsol; ΔH_f (0 K) = -0.4 eV per formula unit; E above lowest polymorph = 59.5 meV per atom
1.0
7.103 0.000 0.000
0.000 7.103 0.000
0.000 0.000 7.103
Y Ir Pb
4 4 8
Cartesian
0.000 0.000 0.000
0.000 3.552 3.552
3.552 0.000 3.552
3.552 3.552 0.000
1.776 1.776 1.776
1.776 5.327 5.327
5.327 1.776 5.327
5.327 5.327 1.776
0.000 0.000 3.552
0.000 3.552 0.000
1.776 1.776 5.327
1.776 5.327 1.776
3.552 0.000 0.000
3.552 3.552 3.552
5.327 1.776 1.776
5.327 5.327 5.327

***

Number 1: raw total energy -7.32 eV per atom. Number 2: raw total energy -6.03 eV per atom. Number 3: raw total energy -4.53 eV per atom. Number 4: raw total energy -4.46 eV per atom. Number 5: raw total energy -4.26 eV per atom. Number 6: raw total energy -9.11 eV per atom. Number 7: raw total energy -8.61 eV per atom. Number 8: raw total energy -7.89 eV per atom. Number 9: raw total energy -7.89 eV per atom. Number 10: raw total energy -6.33 eV per atom. Number 11: raw total energy -6.28 eV per atom. Number 12: raw total energy -6.17 eV per atom. Number 13: raw total energy -7.78 eV per atom. Number 14: raw total energy -7.28 eV per atom. Number 15: raw total energy -6.27 eV per atom.